No. 1
Entry from the Alexandria database: a geometry-optimized Tb2ErAl9 structure (PBE).

The structure in POSCAR format:
```
Tb2ErAl9
1.0
-5.193 -1.116 -1.684
-2.928 -4.035 2.488
-5.824 4.095 6.027
Al Tb Er
9 2 1
Cartesian
-6.306 -3.167 3.109
-4.809 -1.104 1.838
-5.433 -3.399 0.571
-7.464 -1.675 0.977
-8.512 2.343 6.260
-6.972 -0.528 3.415
-7.639 2.111 3.721
-6.481 0.618 5.854
-9.136 0.048 4.993
-9.450 -2.673 3.259
-4.495 1.617 3.571
0.000 0.000 0.000
```

Calculated values
D(E_F): 5.57 states/eV per cell
Crystal system: trigonal
Energy above the lowest structure with this stoichiometry: 66 meV per atom



No. 2
Entry from the Alexandria database: a geometry-optimized Tb2ErAl structure (PBE).

The structure in POSCAR format:
```
Tb2ErAl
1.0
5.342 0.000 0.000
2.671 4.626 0.000
2.671 1.542 4.362
Tb Al Er
2 1 1
Cartesian
2.671 1.542 1.090
8.013 4.626 3.271
5.342 3.084 2.181
0.000 0.000 0.000
```

Calculated values
D(E_F): 6.27 states/eV per cell
Crystal system: cubic
Energy above the lowest structure with this stoichiometry: 125 meV per atom



No. 3
Entry from the Alexandria database: a geometry-optimized Tb5Er4Al structure (PBE).

The structure in POSCAR format:
```
Tb5Er4Al
1.0
3.524 0.000 0.000
0.000 3.540 0.000
0.000 0.000 23.925
Al Er Tb
1 4 5
Cartesian
0.000 0.000 0.000
0.000 0.000 19.431
0.000 0.000 4.494
0.000 0.000 9.466
0.000 0.000 14.459
1.762 1.770 1.929
1.762 1.770 21.996
1.762 1.770 16.965
1.762 1.770 11.963
1.762 1.770 6.961
```

Calculated values
D(E_F): 13.91 states/eV per cell
Crystal system: orthorhombic
Energy above the lowest structure with this stoichiometry: 0 meV per atom



Look up the energy above the lowest structure with this stoichiometry of the third one.
0 meV per atom